Entry from Alexandria: crystalline Li5Cu2Pd5 at its relaxed geometry (PBE).

a b c (Å): 4.9676 4.9719 11.5336
angles (deg): 60.90 48.59 51.23
Last column: nearest neighbours and their distance in Å.
Sites, in units of the cell vectors:
Li  0.4947  0.7511  0.2578  4 Pd 2.52-2.67, 2 Cu 2.60, 2 Li 2.60-2.67
Li  0.5053  0.2489  0.7422  4 Pd 2.52-2.67, 2 Cu 2.60, 2 Li 2.60-2.67
Li  0.3446  0.3377  0.9958  4 Pd 2.56-2.60, 1 Cu 2.60, 3 Li 2.66-2.67
Li  0.0000  0.5000  0.5000  6 Pd 2.56-2.62, 2 Li 2.60
Li  0.6554  0.6623  0.0042  4 Pd 2.56-2.60, 1 Cu 2.60, 3 Li 2.66-2.67
Pd  0.0000  0.0000  0.0000  6 Li 2.59-2.67, 2 Cu 2.60
Pd  0.1721  0.4162  0.2470  5 Li 2.56-2.62, 2 Cu 2.66, 1 Pd 2.77
Pd  0.8279  0.5838  0.7530  5 Li 2.56-2.62, 2 Cu 2.66, 1 Pd 2.77
Pd  0.6439  0.1525  0.5082  3 Li 2.52-2.56, 2 Cu 2.60-2.61, 4 Pd 2.74-2.78
Pd  0.3561  0.8475  0.4918  3 Li 2.52-2.56, 2 Cu 2.60-2.61, 4 Pd 2.74-2.78
Cu  0.1501  0.9080  0.7557  5 Pd 2.60-2.66, 3 Li 2.60
Cu  0.8499  0.0920  0.2443  5 Pd 2.60-2.66, 3 Li 2.60

Properties
Energy of formation from the pure elements, eV per atom: -0.31
Density, g/cm3: 7.0
Volume, Å³ per cell: 165.30
Total magnetic moment, μB/atom: 0.0000
E_tot, eV/f.u.: -47.42


Entry from Alexandria: crystalline PrInSeO2 at its relaxed geometry (PBE).

a b c (Å): 4.2340 7.1275 7.7512
angles (deg): 117.86 90.00 90.00
Last column: nearest neighbours and their distance in Å.
Sites, in units of the cell vectors:
O  0.7500  0.5008  0.8635  1 In 2.16, 3 Pr 2.39-2.41
O  0.2500  0.4992  0.1365  1 In 2.16, 3 Pr 2.39-2.41
O  0.2500  0.4566  0.5994  3 In 2.20-2.23, 1 Pr 2.41
O  0.7500  0.5434  0.4006  3 In 2.20-2.23, 1 Pr 2.41
Pr  0.7500  0.3159  0.0537  4 O 2.39-2.41
Pr  0.2500  0.6841  0.9463  4 O 2.39-2.41
In  0.7500  0.3435  0.5478  4 O 2.16-2.23
In  0.2500  0.6565  0.4522  4 O 2.16-2.23
Se  0.2500  0.0109  0.7668  1 In 2.56
Se  0.7500  0.9891  0.2332  1 In 2.56

Properties
Density, g/cm3: 5.9
Volume, Å³ per cell: 206.81
Total magnetic moment, μB/atom: 0.0000
E_tot, eV/f.u.: -31.15


Entry from Alexandria: crystalline PmAlRu at its relaxed geometry (PBE).

a b c (Å): 4.5747 4.5747 4.5747
angles (deg): 60.00 60.00 60.00
Last column: nearest neighbours and their distance in Å.
Sites, in units of the cell vectors:
Al  0.0000  0.0000  0.0000  4 Ru 2.80
Pm  0.5000  0.5000  0.5000  4 Ru 2.80
Ru  0.2500  0.2500  0.2500  4 Pm 2.80, 4 Al 2.80

Properties
Offset from the most stable computed form, meV/atom: 340
Energy of formation from the pure elements, eV per atom: -0.18
Density, g/cm3: 6.7
Volume, Å³ per cell: 67.70
Total magnetic moment, μB/atom: 0.0000
E_tot, eV/f.u.: -18.30


Entry from Alexandria: crystalline LiPu3Mg3N8 at its relaxed geometry (PBE).

a b c (Å): 6.6137 6.6141 6.3113
angles (deg): 121.60 90.00 120.00
Last column: nearest neighbours and their distance in Å.
Sites, in units of the cell vectors:
Mg  0.5000  0.5000  0.0000  6 N 2.26-2.42
Mg  0.0000  0.0000  0.0000  6 N 2.26-2.42
Mg  0.0000  0.5000  0.0000  6 N 2.26-2.42
N  0.7255  0.9696  0.7137  2 Pu 2.16, 1 Li 2.25, 1 Mg 2.42
N  0.2441  0.9696  0.7137  2 Pu 2.16, 1 Li 2.25, 1 Mg 2.42
N  0.2441  0.4882  0.7138  2 Pu 2.16, 1 Li 2.25, 2 Mg 2.42
N  0.7559  0.5118  0.2862  2 Pu 2.16, 1 Li 2.25, 2 Mg 2.42
N  0.2745  0.0304  0.2863  2 Pu 2.16, 1 Li 2.25, 1 Mg 2.42
N  0.7559  0.0304  0.2863  2 Pu 2.16, 1 Li 2.25, 1 Mg 2.42
N  0.2464  0.4928  0.2391  3 Mg 2.26, 3 Pu 2.32
N  0.7536  0.5072  0.7609  3 Mg 2.26, 3 Pu 2.32
Pu  0.0000  0.5000  0.5000  6 N 2.16-2.32
Pu  0.5000  0.5000  0.5000  6 N 2.16-2.32
Pu  0.5000  0.0000  0.5000  6 N 2.16-2.32
Li  0.0000  0.0000  0.5000  6 N 2.25

Properties
Density, g/cm3: 8.1
Volume, Å³ per cell: 190.38
Total magnetic moment, μB/atom: 0.4666
E_tot, eV/f.u.: -126.17


Entry from Alexandria: crystalline HgHNO2 at its relaxed geometry (PBE).

a b c (Å): 4.3183 4.3183 4.4842
angles (deg): 90.00 90.00 90.00
Last column: nearest neighbours and their distance in Å.
Sites, in units of the cell vectors:
H  0.5000  0.5000  0.5000  4 N 3.05, 8 O 3.11
Hg  0.0000  0.0000  0.0000  4 O 2.16, 2 N 2.24
O  0.0000  0.5000  0.0000  2 Hg 2.16
O  0.5000  0.0000  0.0000  2 Hg 2.16
N  0.0000  0.0000  0.5000  2 Hg 2.24

Properties
Density, g/cm3: 4.9
Volume, Å³ per cell: 83.62
Total magnetic moment, μB/atom: 0.9042
E_tot, eV/f.u.: -12.37


Entry from Alexandria: crystalline Ti3AsCl at its relaxed geometry (PBE).

a b c (Å): 4.4406 4.4406 4.4406
angles (deg): 90.00 90.00 90.00
Last column: nearest neighbours and their distance in Å.
Sites, in units of the cell vectors:
Ti  0.5000  0.0000  0.0000  2 Cl 2.22
Ti  0.0000  0.5000  0.0000  2 Cl 2.22
Ti  0.0000  0.0000  0.5000  2 Cl 2.22
As  0.5000  0.5000  0.5000  12 Ti 3.14
Cl  0.0000  0.0000  0.0000  6 Ti 2.22

Properties
Offset from the most stable computed form, meV/atom: 0
Density, g/cm3: 4.8
Volume, Å³ per cell: 87.56
Total magnetic moment, μB/atom: 0.2959
E_tot, eV/f.u.: -30.16